## SrLiHgPb2 (PBE)

Data for a geometry-optimized SrLiHgPb2 structure.

Cell and atoms, written as POSCAR:
```
SrLiHgPb2
1.0
-3.097 -4.677 2.670
5.044 -1.718 2.841
-1.441 3.687 4.788
Pb Li Sr Hg
2 1 1 1
Direct
0.500 0.000 0.000
0.000 0.000 0.500
0.500 0.500 0.500
0.000 0.000 0.000
0.000 0.500 0.000
```

Output
Volume   233.1 Å³/cell
ρ   5.1 g/cm³
Density of states at the Fermi level   4.7 states/eV/f.u.
Energy above the most stable polymorph in this dataset   714 meV/atom
E_form   0.48 eV per atom